A plane-wave DFT calculation with PBE+U was carried out for BaVO2 after structural relaxation.

Results
**N(E_F)**: 0.49 states/eV per atom
**Symmetry**: Fm-3m, No. 225
**Excess energy over the best structure of this formula in the dataset**: 788.1 meV/atom

abc: 4.4062 4.4062 4.4062
angles: 60.00 60.00 60.00
Closest atoms and distances in Å follow each position.
Positions (direct):
O  0.2500  0.2500  0.2500  4 Ba 2.70, 4 V 2.70
O  0.7500  0.7500  0.7500  4 V 2.70, 4 Ba 2.70
V  0.0000  0.0000  0.0000  8 O 2.70
Ba  0.5000  0.5000  0.5000  8 O 2.70